First-principles (PBE) data for an optimized crystal structure of RePt2Rh4, as listed in Alexandria via LeMat-Bulk.

abc: 2.725 17.255 9.299
angles: 90.00 90.00 90.00
Space group Cmcm (No. 63)
Asymmetric unit:
Re 0.000 0.125 0.250
Pt 0.000 0.372 0.095
Rh 0.000 0.000 0.000
Rh 0.000 0.265 0.615
Rh 0.000 0.499 0.750

Summary:
Formation enthalpy at 0 K   0.214 eV/atom
Calculated total energy   -7.491 eV per atom



First-principles (PBE) data for an optimized crystal structure of Tm2ZnSe, as listed in Alexandria via LeMat-Bulk.

abc: 3.986 22.319 4.120
angles: 90.00 90.00 90.00
Space group Cmcm (No. 63)
Asymmetric unit:
Tm 0.000 0.068 0.250
Tm 0.000 0.323 0.250
Zn 0.000 0.461 0.250
Se 0.000 0.195 0.250

Summary:
Formation energy from raw total energies   -1027 meV per atom
Calculated total energy   -4.453 eV per atom



First-principles (PBE) data for an optimized crystal structure of AcAl2Sb, as listed in Alexandria via LeMat-Bulk.

abc: 4.1978 4.1978 23.4903
angles: 90.00 90.00 120.00
Space group R-3m (No. 166, hexagonal axes)
Asymmetric unit:
Ac 0.0000 0.0000 0.0000
Al 0.0000 0.0000 0.2324
Sb 0.0000 0.0000 0.5000

Summary:
Formation energy from raw total energies   62 meV per atom
Calculated total energy   -3.867 eV per atom



First-principles (PBE) data for an optimized crystal structure of CaCoP, as listed in Alexandria via LeMat-Bulk.

abc: 10.563 3.931 5.593
angles: 90.00 105.89 90.00
Space group C2/m (No. 12)
Asymmetric unit:
Ca 0.108 0.000 0.307
Co 0.205 0.000 0.863
P 0.123 0.500 0.797

Summary:
Formation enthalpy at 0 K   -0.767 eV/atom
Calculated total energy   -5.606 eV per atom



First-principles (PBE) data for an optimized crystal structure of TmPtCl, as listed in Alexandria via LeMat-Bulk.

abc: 21.121 3.972 7.672
angles: 90.00 93.94 90.00
Space group C2/m (No. 12)
Asymmetric unit:
Tm 0.153 0.000 0.099
Tm 0.158 0.000 0.613
Pt 0.245 0.500 0.123
Pt 0.250 0.000 0.373
Cl 0.070 0.000 0.345
Cl 0.089 0.500 0.863

Summary:
Formation energy from raw total energies   -1457 meV per atom
Calculated total energy   -5.577 eV per atom



First-principles (PBE) data for an optimized crystal structure of La4TlCoTe, as listed in Alexandria via LeMat-Bulk.

abc: 7.129 17.550 7.132
angles: 90.00 90.00 90.00
Space group Cmcm (No. 63)
Asymmetric unit:
La 0.000 0.074 0.250
La 0.000 0.420 0.250
La 0.250 0.250 0.000
Tl 0.000 0.110 0.750
Co 0.000 0.251 0.250
Te 0.000 0.390 0.750

Summary:
Formation energy from raw total energies   -594 meV per atom
Calculated total energy   -5.212 eV per atom



First-principles (PBE) data for an optimized crystal structure of CeLuMg, as listed in Alexandria via LeMat-Bulk.

abc: 3.384 3.384 14.550
angles: 90.00 90.00 90.00
Space group I4mm (No. 107)
Asymmetric unit:
Ce 0.000 0.000 0.000
Lu 0.000 0.000 0.674
Mg 0.000 0.000 0.332

Summary:
Formation enthalpy at 0 K   0.038 eV/atom
Calculated total energy   -3.978 eV per atom



First-principles (PBE) data for an optimized crystal structure of HoGa5Ru2, as listed in Alexandria via LeMat-Bulk.

abc: 3.314 8.237 10.075
angles: 90.00 90.00 90.00
Space group Immm (No. 71)
Asymmetric unit:
Ho 0.000 0.000 0.000
Ga 0.000 0.216 0.355
Ga 0.000 0.500 0.000
Ru 0.000 0.500 0.244

Summary:
Formation enthalpy at 0 K   -0.386 eV/atom
Calculated total energy   -5.169 eV per atom



First-principles (PBE) data for an optimized crystal structure of ErZn2Ni, as listed in Alexandria via LeMat-Bulk.

abc: 3.183 3.183 6.604
angles: 90.00 90.00 90.00
Space group P4/mmm (No. 123)
Asymmetric unit:
Er 0.000 0.000 0.000
Zn 0.500 0.500 0.308
Ni 0.000 0.000 0.500

Summary:
Formation enthalpy at 0 K   -0.210 eV/atom
Calculated total energy   -3.433 eV per atom



First-principles (PBE) data for an optimized crystal structure of Tb3PmHg4, as listed in Alexandria via LeMat-Bulk.

abc: 14.502 5.326 6.010
angles: 90.00 108.53 90.00
Space group C2/m (No. 12)
Asymmetric unit:
Tb 0.000 0.000 0.000
Tb 0.172 0.000 0.581
Pm 0.000 0.500 0.500
Hg 0.112 0.500 0.138
Hg 0.244 0.500 0.833

Summary:
Formation enthalpy at 0 K   -0.297 eV/atom
Calculated total energy   -2.778 eV per atom



First-principles (PBE) data for an optimized crystal structure of Cs2TeI, as listed in Alexandria via LeMat-Bulk.

abc: 4.389 4.389 10.046
angles: 90.00 90.00 90.00
Space group P4/mmm (No. 123)
Asymmetric unit:
Cs 0.000 0.000 0.239
Te 0.500 0.500 0.500
I 0.500 0.500 0.000

Summary:
Formation energy from raw total energies   -1038 meV per atom
Calculated total energy   -2.638 eV per atom



First-principles (PBE) data for an optimized crystal structure of Zr2Tc, as listed in Alexandria via LeMat-Bulk.

abc: 12.470 12.470 12.470
angles: 90.00 90.00 90.00
Space group Fd-3m (No. 227, origin choice 2)
Asymmetric unit:
Zr 0.000 0.000 0.000
Zr 0.062 0.375 0.875
Tc 0.038 0.038 0.212

Summary:
Formation enthalpy at 0 K   -0.205 eV/atom
Calculated total energy   -9.359 eV per atom



First-principles (PBE) data for an optimized crystal structure of Nb2ReSi4, as listed in Alexandria via LeMat-Bulk.

abc: 4.623 4.623 12.627
angles: 90.00 90.00 90.00
Space group I4/mmm (No. 139)
Asymmetric unit:
Nb 0.000 0.000 0.104
Re 0.000 0.000 0.500
Si 0.000 0.000 0.306
Si 0.000 0.500 0.000

Summary:
Formation energy from raw total energies   494 meV per atom
Calculated total energy   -7.260 eV per atom



First-principles (PBE) data for an optimized crystal structure of ZrBe2P, as listed in Alexandria via LeMat-Bulk.

abc: 5.048 8.778 3.565
angles: 90.00 134.83 90.00
Space group C2/m (No. 12)
Asymmetric unit:
Zr 0.000 0.000 0.000
Be 0.000 0.250 0.500
P 0.000 0.500 0.000

Summary:
Formation enthalpy at 0 K   -0.159 eV/atom
Calculated total energy   -5.512 eV per atom



First-principles (PBE) data for an optimized crystal structure of Ac12PrY6, as listed in Alexandria via LeMat-Bulk.

abc: 14.2178 14.2178 13.6670
angles: 90.00 90.00 120.00
Space group R-3m (No. 166, hexagonal axes)
Asymmetric unit:
Ac 0.0000 0.2624 0.0000
Ac 0.0548 0.5274 0.1158
Pr 0.0000 0.0000 0.0000
Y 0.0862 0.1723 0.7702

Summary:
Formation enthalpy at 0 K   0.190 eV/atom
Calculated total energy   -4.698 eV per atom



First-principles (PBE) data for an optimized crystal structure of Y5Os, as listed in Alexandria via LeMat-Bulk.

abc: 12.332 3.560 8.478
angles: 90.00 112.41 90.00
Space group C2/m (No. 12)
Asymmetric unit:
Y 0.000 0.000 0.000
Y 0.132 0.500 0.370
Y 0.160 0.500 0.780
Os 0.000 0.000 0.500

Summary:
Formation enthalpy at 0 K   -0.076 eV/atom
Calculated total energy   -7.334 eV per atom



First-principles (PBE) data for an optimized crystal structure of Rb2TeIrF6, as listed in Alexandria via LeMat-Bulk.

abc: 6.164 6.164 10.859
angles: 90.00 90.00 90.00
Space group I4/mmm (No. 139)
Asymmetric unit:
Rb 0.000 0.500 0.250
Te 0.000 0.000 0.000
Ir 0.000 0.000 0.500
F 0.000 0.000 0.311
F 0.240 0.240 0.500

Summary:
Formation energy from raw total energies   -1711 meV per atom
Calculated total energy   -4.228 eV per atom



First-principles (PBE) data for an optimized crystal structure of Cs2PrPaO6, as listed in Alexandria via LeMat-Bulk.

abc: 9.151 9.151 9.151
angles: 90.00 90.00 90.00
Space group Fm-3m (No. 225)
Asymmetric unit:
Cs 0.250 0.250 0.250
Pr 0.000 0.000 0.000
Pa 0.000 0.000 0.500
O 0.000 0.000 0.264

Summary:
Formation energy from raw total energies   -2457 meV per atom
Calculated total energy   -7.030 eV per atom



First-principles (PBE) data for an optimized crystal structure of SmDyHoLu, as listed in Alexandria via LeMat-Bulk.

abc: 7.977 7.977 7.977
angles: 90.00 90.00 90.00
Space group F-43m (No. 216)
Asymmetric unit:
Sm 0.000 0.000 0.000
Dy 0.000 0.000 0.500
Ho 0.250 0.250 0.250
Lu 0.250 0.250 0.750

Summary:
Formation enthalpy at 0 K   0.123 eV/atom
Calculated total energy   -4.482 eV per atom



First-principles (PBE) data for an optimized crystal structure of Ba2NdCd3Sn4, as listed in Alexandria via LeMat-Bulk.

abc: 5.021 5.021 12.661
angles: 90.00 90.00 90.00
Space group P-4m2 (No. 115)
Asymmetric unit:
Ba 0.000 0.500 0.234
Nd 0.000 0.000 0.500
Cd 0.000 0.500 0.872
Cd 0.500 0.500 0.500
Sn 0.000 0.000 0.000
Sn 0.000 0.500 0.645
Sn 0.500 0.500 0.000

Summary:
Formation enthalpy at 0 K   -0.481 eV/atom
Calculated total energy   -3.218 eV per atom